Material: MnAgF5
Method: DFT, GGA+U
State: optimized geometry

- size of the total moment (Bohr magnetons per cell) = 8.06
- SG = P-1
- electronic total energy (eV for the cell shown) = -65.71

a b c (Å): 5.471 5.525 7.687
angles (deg): 96.96 107.75 106.35
Fractional positions:
Mn 0.000 0.000 0.000
Mn 0.500 0.000 0.500
Ag 0.249 0.499 0.747
Ag 0.751 0.501 0.253
F 0.178 0.824 0.889
F 0.233 0.005 0.237
F 0.245 0.316 0.001
F 0.254 0.675 0.494
F 0.322 0.167 0.621
F 0.678 0.833 0.379
F 0.746 0.325 0.506
F 0.755 0.684 0.999
F 0.767 0.995 0.763
F 0.822 0.176 0.111